(1)
The following is a DFT calculation (PBEsol) of crystalline OsC2Cl at its relaxed geometry.

## Properties
Energy relative to the elements, uncorrected, eV/atom: 2.778
M_tot, μB per cell: 0.00
Uncorrected energy, eV for the cell shown: -89.6
Energy above the most stable polymorph in this dataset, meV/atom: 1356.2
Fermi-level density of states, states/eV/atom: 0.6474

Unit cell a=5.4472 b=5.4472 c=5.4472 alpha=90.00 beta=90.00 gamma=90.00
Closest atoms and distances in Å follow each position.
Space group Fm-3m (No. 225)
Inequivalent atoms, fractional coordinates:
Os: 0.0000 0.0000 0.0000 [4 per cell]  8 C 2.36
C: 0.2500 0.2500 0.2500 [8 per cell]  4 Cl 2.36, 4 Os 2.36
Cl: 0.0000 0.0000 0.5000 [4 per cell]  8 C 2.36



(2)
The following is a DFT calculation (PBEsol) of crystalline OsC2Cl at its relaxed geometry.

## Properties
Energy relative to the elements, uncorrected, eV/atom: 1.422
M_tot, μB per cell: 0.01
Uncorrected energy, eV for the cell shown: -222.6
Energy above the most stable polymorph in this dataset, meV/atom: 0.0
Fermi-level density of states, states/eV/atom: 0.8677

Unit cell a=8.5252 b=8.5252 c=8.5252 alpha=90.00 beta=90.00 gamma=90.00
Closest atoms and distances in Å follow each position.
Space group Fd-3m (No. 227, origin choice 2)
Inequivalent atoms, fractional coordinates:
Os: 0.1250 0.1250 0.1250 [8 per cell]  4 C 1.85
C: 0.0000 0.0000 0.0000 [16 per cell]  2 Os 1.85
Cl: 0.1250 0.1250 0.6250 [8 per cell]  12 C 3.53, 4 Os 3.69, 4 Cl 3.69